Below is a relaxed SrMgNi2 crystal, with properties calculated at the GGA-PBEsol level.

Cell and atoms, written as CIF:
```
data_SrMgNi2
_symmetry_space_group_name_H-M 'C 1 m 1'
_symmetry_Int_Tables_number 8
_symmetry_space_group_name_Hall 'C -2y'
_cell_length_a 10.2330
_cell_length_b 3.0021
_cell_length_c 4.8606
_cell_angle_alpha 90.00
_cell_angle_beta 107.37
_cell_angle_gamma 90.00
loop_
_atom_site_label
_atom_site_type_symbol
_atom_site_fract_x
_atom_site_fract_y
_atom_site_fract_z
Sr1 Sr 0.0000 0.0000 0.0000
Mg1 Mg 0.2024 0.0000 0.6341
Ni1 Ni 0.2735 0.5000 0.2279
Ni2 Ni 0.4528 0.0000 0.4750
```

Formation energy from the elements ... 0.79 eV per formula unit
Total moment ... 0.007 μB per cell
Raw total energy ... -3.770 eV/atom
Crystal system ... monoclinic

Below is a relaxed Co2PS3 crystal, with properties calculated at the GGA-PBEsol level.

Cell and atoms, written as CIF:
```
data_Co2PS3
_symmetry_space_group_name_H-M 'P 1 21 1'
_symmetry_Int_Tables_number 4
_symmetry_space_group_name_Hall 'P 2yb'
_cell_length_a 5.3514
_cell_length_b 5.3574
_cell_length_c 5.3676
_cell_angle_alpha 90.00
_cell_angle_beta 90.03
_cell_angle_gamma 90.00
loop_
_atom_site_label
_atom_site_type_symbol
_atom_site_fract_x
_atom_site_fract_y
_atom_site_fract_z
Co1 Co 0.0012 0.0000 0.2482
Co2 Co 0.4978 0.5015 0.2481
P1 P 0.1148 0.6186 0.1305
S1 S 0.1159 0.8839 0.6340
S2 S 0.3770 0.3807 0.6294
S3 S 0.3784 0.1203 0.1304
```

Total moment ... 0.015 μB per cell
Formation energy from raw total energies ... -339.6 kJ/mol of formula units
Raw total energy ... -6.323 eV/atom
Crystal system ... monoclinic

Below is a relaxed Cu2TeCl crystal, with properties calculated at the GGA-PBEsol level.

Cell and atoms, written as CIF:
```
data_Cu2TeCl
_symmetry_space_group_name_H-M 'I -4 2 d'
_symmetry_Int_Tables_number 122
_symmetry_space_group_name_Hall 'I -4 2bw'
_cell_length_a 5.5489
_cell_length_b 5.5489
_cell_length_c 11.2485
_cell_angle_alpha 90.00
_cell_angle_beta 90.00
_cell_angle_gamma 90.00
loop_
_atom_site_label
_atom_site_type_symbol
_atom_site_fract_x
_atom_site_fract_y
_atom_site_fract_z
Cu1 Cu 0.2275 0.2500 0.1250
Te1 Te 0.0000 0.0000 0.5000
Cl1 Cl 0.0000 0.0000 0.0000
```

Excess energy over the best structure of this formula in the dataset ... 0.074 eV per atom
Total moment ... 0.002 μB per cell
Formation energy from raw total energies ... -47.9 kJ/mol of formula units
Raw total energy ... -3.675 eV/atom
Crystal system ... tetragonal

| no. | volume (Å³/atom) |
| --- | --- |
| 1 | 17.8 |
| 2 | 12.8 |
| 3 | 21.6 |